Here is a relaxed Nd2Al3Au crystal from Alexandria. Energies are from PBE-GGA.

a b c (Å): 7.6942 9.1530 15.8970
angles (deg): 90.00 90.00 90.00
Space group Fmmm (No. 69)
One atom of each set of equivalent atoms:
Nd (0.2436, 0.0000, 0.0000) [8 per cell]
Nd (0.2500, 0.2500, 0.2500) [8 per cell]
Al (0.0000, 0.0000, 0.3345) [8 per cell]
Al (0.0000, 0.2495, 0.0834) [16 per cell]
Au (0.0000, 0.0000, 0.1689) [8 per cell]

Summary:
N(E_F)	37.63	states/eV per cell
calculated total energy	-4.60	eV per atom
energy of formation	-3.5	eV per formula unit